# 1
Density functional theory data (SCAN) for Ta3Ge at its PBEsol-relaxed geometry.

Properties
E_tot, eV/atom: -55.00
Volume, A^3/atom: 17.0
ΔE_f, eV per atom: -0.291

Cell lengths 10.2886, 10.2886, 5.1397 Å; angles 90.00, 90.00, 90.00 degrees
Closest atoms and distances in Å follow each position.
Space group I-4 (No. 82)
One atom of each set of equivalent atoms:
Ta1 0.0134 0.1452 0.2650 [8 per cell]  4 Ge 2.61-2.68, 2 Ta 2.87-2.91
Ta2 0.0836 0.5989 0.4784 [8 per cell]  2 Ge 2.61-2.71, 2 Ta 2.66-2.90
Ta3 0.1912 0.7145 0.0101 [8 per cell]  3 Ge 2.62-2.92, 5 Ta 2.87-2.93
Ge1 0.0254 0.2091 0.7670 [8 per cell]  9 Ta 2.61-2.92

# 2
Density functional theory data (SCAN) for TaTcGe3 at its PBEsol-relaxed geometry.

Properties
E_tot, eV/atom: -30.62
Volume, A^3/atom: 23.4
ΔE_f, eV per atom: 1.165

Cell lengths 4.8908, 4.8908, 4.8908 Å; angles 90.00, 90.00, 90.00 degrees
Closest atoms and distances in Å follow each position.
Space group Pm-3m (No. 221)
One atom of each set of equivalent atoms:
Ta1 0.0000 0.0000 0.0000 [1 per cell]  6 Ge 2.45
Tc1 0.5000 0.5000 0.5000 [1 per cell]  12 Ge 3.46
Ge1 0.0000 0.0000 0.5000 [3 per cell]  2 Ta 2.45

# 3
Density functional theory data (SCAN) for Ta3GeTe at its PBEsol-relaxed geometry.

Properties
E_tot, eV/atom: -49.19
Volume, A^3/atom: 24.2
Formation energy (no corrections), eV/f.u.: 10.1

Cell lengths 4.9493, 4.9493, 4.9493 Å; angles 90.00, 90.00, 90.00 degrees
Closest atoms and distances in Å follow each position.
Space group Pm-3m (No. 221)
One atom of each set of equivalent atoms:
Ta1 0.0000 0.0000 0.5000 [3 per cell]  2 Te 2.47
Ge1 0.5000 0.5000 0.5000 [1 per cell]  12 Ta 3.50
Te1 0.0000 0.0000 0.0000 [1 per cell]  6 Ta 2.47

# 4
Density functional theory data (SCAN) for Ta2TiGe2 at its PBEsol-relaxed geometry.

Properties
E_tot, eV/atom: -37.97
Volume, A^3/atom: 16.0
ΔE_f, eV per atom: -0.496

Cell lengths 6.7153, 6.7153, 3.5441 Å; angles 90.00, 90.00, 90.00 degrees
Closest atoms and distances in Å follow each position.
Space group P4/mbm (No. 127)
One atom of each set of equivalent atoms:
Ta1 0.1682 0.3318 0.0000 [4 per cell]  6 Ge 2.58-2.70
Ti1 0.0000 0.0000 0.5000 [2 per cell]  4 Ge 2.62
Ge1 0.1341 0.6341 0.5000 [4 per cell]  1 Ge 2.55, 6 Ta 2.58-2.70, 2 Ti 2.62

# 5
Density functional theory data (SCAN) for Ta2V3Ge at its PBEsol-relaxed geometry.

Properties
E_tot, eV/atom: -34.40
Volume, A^3/atom: 14.6
ΔE_f, eV per atom: -0.285

Cell lengths 4.9103, 4.9103, 8.3621 Å; angles 90.00, 90.00, 120.00 degrees
Closest atoms and distances in Å follow each position.
Space group P6_3/mmc (No. 194)
One atom of each set of equivalent atoms:
Ta1 0.3333 0.6667 0.0626 [4 per cell]  3 Ge 2.88, 9 V 2.91-2.95, 4 Ta 3.02-3.13
V1 0.1727 0.3455 0.7500 [6 per cell]  4 V 2.37-2.54, 2 Ge 2.56
Ge1 0.0000 0.0000 0.0000 [2 per cell]  6 V 2.56

# 6
Density functional theory data (SCAN) for TaGeW3 at its PBEsol-relaxed geometry.

Properties
E_tot, eV/atom: -57.34
Volume, A^3/atom: 18.5
ΔE_f, eV per atom: 1.611

Cell lengths 4.5193, 4.5193, 4.5193 Å; angles 90.00, 90.00, 90.00 degrees
Closest atoms and distances in Å follow each position.
Space group Pm-3m (No. 221)
One atom of each set of equivalent atoms:
Ta1 0.0000 0.0000 0.0000 [1 per cell]  12 W 3.20
Ge1 0.5000 0.5000 0.5000 [1 per cell]  6 W 2.26
W1 0.0000 0.5000 0.5000 [3 per cell]  2 Ge 2.26

# 7
Density functional theory data (SCAN) for YTa2Ge2 at its PBEsol-relaxed geometry.

Properties
E_tot, eV/atom: -40.45
Volume, A^3/atom: 19.0
ΔE_f, eV per atom: -0.616

Cell lengths 3.9887, 3.9887, 11.9162 Å; angles 90.00, 90.00, 90.00 degrees
Closest atoms and distances in Å follow each position.
Space group I4/mmm (No. 139)
One atom of each set of equivalent atoms:
Y1 0.0000 0.0000 0.0000 [2 per cell]  8 Ge 3.07
Ta1 0.0000 0.5000 0.2500 [4 per cell]  4 Ge 2.66, 4 Ta 2.82
Ge1 0.0000 0.0000 0.3973 [4 per cell]  1 Ge 2.45, 4 Ta 2.66

# 8
Density functional theory data (SCAN) for Zr2TaGe2 at its PBEsol-relaxed geometry.

Properties
E_tot, eV/atom: -34.04
Volume, A^3/atom: 17.9
ΔE_f, eV per atom: -0.807

Cell lengths 6.9260, 6.9260, 3.7326 Å; angles 90.00, 90.00, 90.00 degrees
Closest atoms and distances in Å follow each position.
Space group P4/mbm (No. 127)
One atom of each set of equivalent atoms:
Zr1 0.1730 0.3270 0.0000 [4 per cell]  6 Ge 2.68-2.83
Ta1 0.0000 0.0000 0.5000 [2 per cell]  4 Ge 2.72
Ge1 0.1303 0.6303 0.5000 [4 per cell]  1 Ge 2.55, 6 Zr 2.68-2.83, 2 Ta 2.72